No. 1
Below is FeCoRh2 at its PBEsol-relaxed geometry, with properties calculated at the meta-GGA SCAN level.

Properties
* E_form: -0.01 eV/atom
* total energy: -25.7548 eV/atom

a b c (Å): 3.9205 2.6038 9.5461
angles (deg): 90.00 90.00 90.00
Element x y z (fractional)
Fe (0.0000, 0.0000, 0.0000)
Fe (0.0000, 0.5000, 0.5000)
Co (0.5000, 0.0000, 0.1272)
Co (0.5000, 0.5000, 0.6272)
Rh (0.0000, 0.0000, 0.7362)
Rh (0.0000, 0.5000, 0.2362)
Rh (0.5000, 0.0000, 0.3900)
Rh (0.5000, 0.5000, 0.8900)

No. 2
Below is InCu2Tc at its PBEsol-relaxed geometry, with properties calculated at the meta-GGA SCAN level.

Properties
* E_form: 0.21 eV/atom
* total energy: -24.5014 eV/atom

a b c (Å): 3.8976 3.8976 3.7093
angles (deg): 90.00 90.00 90.00
Element x y z (fractional)
In (0.0000, 0.0000, 0.0000)
Cu (0.0000, 0.5000, 0.5000)
Cu (0.5000, 0.0000, 0.5000)
Tc (0.5000, 0.5000, 0.0000)

No. 3
Below is LiCd at its PBEsol-relaxed geometry, with properties calculated at the meta-GGA SCAN level.

Properties
* E_form: -0.11 eV/atom
* total energy: -16.5153 eV/atom

a b c (Å): 3.0187 3.0187 9.8427
angles (deg): 90.00 90.00 120.00
Element x y z (fractional)
Li (0.3333, 0.6667, 0.1263)
Li (0.6667, 0.3333, 0.8737)
Cd (0.3333, 0.6667, 0.6344)
Cd (0.6667, 0.3333, 0.3656)

No. 4
Below is Mn4Fe2Sb3 at its PBEsol-relaxed geometry, with properties calculated at the meta-GGA SCAN level.

Properties
* raw formation energy: -0.08 eV/atom
* total energy: -24.6430 eV/atom

a b c (Å): 3.8898 3.8898 17.9698
angles (deg): 90.00 90.00 90.00
Element x y z (fractional)
Mn (0.0000, 0.0000, 0.1672)
Mn (0.0000, 0.0000, 0.8328)
Mn (0.0000, 0.5000, 0.2519)
Mn (0.0000, 0.5000, 0.5845)
Mn (0.0000, 0.5000, 0.9169)
Mn (0.5000, 0.0000, 0.0831)
Mn (0.5000, 0.0000, 0.4155)
Mn (0.5000, 0.0000, 0.7481)
Fe (0.0000, 0.0000, 0.5000)
Fe (0.5000, 0.5000, 0.1673)
Fe (0.5000, 0.5000, 0.5000)
Fe (0.5000, 0.5000, 0.8327)
Sb (0.0000, 0.5000, 0.0678)
Sb (0.0000, 0.5000, 0.4042)
Sb (0.0000, 0.5000, 0.7340)
Sb (0.5000, 0.0000, 0.2660)
Sb (0.5000, 0.0000, 0.5958)
Sb (0.5000, 0.0000, 0.9322)

No. 5
Below is La3AlRh at its PBEsol-relaxed geometry, with properties calculated at the meta-GGA SCAN level.

Properties
* E_form: -0.36 eV/atom
* total energy: -34.5309 eV/atom

a b c (Å): 5.4135 5.4135 5.4135
angles (deg): 90.00 90.00 90.00
Element x y z (fractional)
La (0.0000, 0.0000, 0.5000)
La (0.0000, 0.5000, 0.0000)
La (0.5000, 0.0000, 0.0000)
Al (0.5000, 0.5000, 0.5000)
Rh (0.0000, 0.0000, 0.0000)

No. 6
Below is Ar at its PBEsol-relaxed geometry, with properties calculated at the meta-GGA SCAN level.

Properties
* E_form: 0.00 eV/atom
* total energy: -6.9283 eV/atom

a b c (Å): 5.4367 5.4367 5.4367
angles (deg): 90.00 90.00 90.00
Element x y z (fractional)
Ar (0.0000, 0.0000, 0.0000)
Ar (0.0000, 0.5000, 0.5000)
Ar (0.5000, 0.0000, 0.5000)
Ar (0.5000, 0.5000, 0.0000)

No. 7
Below is Fe2TcNi at its PBEsol-relaxed geometry, with properties calculated at the meta-GGA SCAN level.

Properties
* E_form: 0.11 eV/atom
* total energy: -21.7657 eV/atom

a b c (Å): 2.5151 2.5151 7.1181
angles (deg): 90.00 90.00 90.00
Element x y z (fractional)
Fe (0.0000, 0.0000, 0.0000)
Fe (0.5000, 0.5000, 0.2332)
Tc (0.5000, 0.5000, 0.7441)
Ni (0.0000, 0.0000, 0.4770)

No. 8
Below is CaGa4O7 at its PBEsol-relaxed geometry, with properties calculated at the meta-GGA SCAN level.

Properties
* raw formation energy: -1.70 eV/atom
* total energy: -11.5887 eV/atom

a b c (Å): 7.7182 7.7182 5.2396
angles (deg): 91.89 91.89 71.19
Element x y z (fractional)
Ca (0.1404, 0.8596, 0.7500)
Ca (0.8596, 0.1404, 0.2500)
Ga (0.1180, 0.3093, 0.8911)
Ga (0.3093, 0.1180, 0.3911)
Ga (0.3161, 0.4996, 0.1856)
Ga (0.4996, 0.3161, 0.6856)
Ga (0.5004, 0.6839, 0.3144)
Ga (0.6839, 0.5004, 0.8144)
Ga (0.6907, 0.8820, 0.6089)
Ga (0.8820, 0.6907, 0.1089)
O (0.0699, 0.2004, 0.5918)
O (0.0966, 0.9034, 0.2500)
O (0.1136, 0.5822, 0.9565)
O (0.2004, 0.0699, 0.0918)
O (0.2791, 0.3772, 0.4720)
O (0.3772, 0.2791, 0.9720)
O (0.4178, 0.8864, 0.5435)
O (0.5822, 0.1136, 0.4565)
O (0.6228, 0.7209, 0.0280)
O (0.7209, 0.6228, 0.5280)
O (0.7996, 0.9301, 0.9082)
O (0.8864, 0.4178, 0.0435)
O (0.9034, 0.0966, 0.7500)
O (0.9301, 0.7996, 0.4082)

- Which of these has the lowest total energy?
  La3AlRh

- total energy of number 4 (Mn4Fe2Sb3)?
  -24.6430 eV/atom